1.
MgZr2Sc | GGA-PBEsol | optimized geometry

Unit cell a=3.1965 b=4.3241 c=6.4886 alpha=90.00 beta=90.00 gamma=90.00
Space group Pmm2 (No. 25)
Symmetry-distinct sites (fractional):
Mg (0.0000, 0.0000, 0.0000) (multiplicity 1)
Zr (0.0000, 0.0000, 0.5103) (multiplicity 1)
Zr (0.5000, 0.5000, 0.7355) (multiplicity 1)
Sc (0.5000, 0.5000, 0.2584) (multiplicity 1)

Summary:
**M_tot**: 0.00 μB/f.u.
**DFT formation energy**: 0.10 eV per formula unit



2.
MgZr2Sc | GGA-PBEsol | optimized geometry

Unit cell a=10.5090 b=3.1644 c=5.5023 alpha=90.00 beta=102.63 gamma=90.00
Space group Cm (No. 8)
Symmetry-distinct sites (fractional):
Mg (0.0000, 0.0000, 0.0000) (multiplicity 2)
Zr (0.2425, 0.5000, 0.2928) (multiplicity 2)
Zr (0.4931, 0.0000, 0.4851) (multiplicity 2)
Sc (0.2498, 0.0000, 0.7749) (multiplicity 2)

Summary:
**M_tot**: 0.00 μB/f.u.
**DFT formation energy**: 0.24 eV per formula unit